(1)
Density functional theory data (PBE) for Pr2BN2 after structural relaxation.

Lattice parameters (Å, degrees): 7.463 7.463 6.483 90.00 90.00 155.90
Element x y z (fractional)
Pr 0.040 0.960 0.500
Pr 0.232 0.768 0.208
Pr 0.768 0.232 0.708
Pr 0.960 0.040 0.000
B 0.383 0.617 0.480
B 0.617 0.383 0.980
N 0.129 0.871 0.863
N 0.417 0.583 0.691
N 0.583 0.417 0.191
N 0.871 0.129 0.363

Computed properties:
Space group ... Cmc2_1, No. 36
Raw formation energy ... -0.66 eV per atom

---

(2)
Density functional theory data (PBE) for Pr2B3N2 after structural relaxation.

Lattice parameters (Å, degrees): 3.398 4.043 6.810 90.00 104.57 90.00
Element x y z (fractional)
Pr 0.132 0.000 0.270
Pr 0.868 0.000 0.730
B 0.283 0.500 0.563
B 0.500 0.500 0.000
B 0.717 0.500 0.437
N 0.398 0.500 0.791
N 0.602 0.500 0.209

Computed properties:
Space group ... P2/m, No. 10
Raw formation energy ... -0.75 eV per atom

---

(3)
Density functional theory data (PBE) for PrBN after structural relaxation.

Lattice parameters (Å, degrees): 3.074 3.074 4.429 90.00 90.00 120.00
Element x y z (fractional)
Pr 0.000 0.000 0.000
B 0.333 0.667 0.500
N 0.667 0.333 0.500

Computed properties:
Space group ... P-6m2, No. 187
Raw formation energy ... 0.20 eV per atom
Energy relative to the lowest polymorph listed for this composition ... 1228.3 meV per atom

---

(4)
Density functional theory data (PBE) for PrB2N3 after structural relaxation.

Lattice parameters (Å, degrees): 5.780 8.331 3.863 90.00 90.00 90.00
Element x y z (fractional)
Pr 0.250 0.250 0.249
Pr 0.750 0.750 0.751
B 0.250 0.588 0.749
B 0.250 0.912 0.749
B 0.750 0.088 0.251
B 0.750 0.412 0.251
N 0.250 0.069 0.749
N 0.250 0.431 0.749
N 0.250 0.750 0.750
N 0.750 0.250 0.250
N 0.750 0.569 0.251
N 0.750 0.931 0.251

Computed properties:
Space group ... Pmmn, No. 59
Raw formation energy ... -0.86 eV per atom

---

(5)
Density functional theory data (PBE) for PrBN after structural relaxation.

Lattice parameters (Å, degrees): 3.949 5.326 4.944 90.00 90.00 90.00
Element x y z (fractional)
Pr 0.250 0.250 0.205
Pr 0.750 0.750 0.795
B 0.250 0.750 0.383
B 0.750 0.250 0.617
N 0.250 0.750 0.111
N 0.750 0.250 0.889

Computed properties:
Space group ... Pmmn, No. 59
Raw formation energy ... -0.71 eV per atom
Energy relative to the lowest polymorph listed for this composition ... 318.1 meV per atom

---

(6)
Density functional theory data (PBE) for Pr3B2N4 after structural relaxation.

Lattice parameters (Å, degrees): 6.573 6.573 6.573 148.27 122.16 67.49
Element x y z (fractional)
Pr 0.000 0.000 0.000
Pr 0.298 0.798 0.500
Pr 0.702 0.202 0.500
B 0.357 0.500 0.857
B 0.643 0.500 0.143
N 0.127 0.382 0.745
N 0.363 0.618 0.745
N 0.637 0.382 0.255
N 0.873 0.618 0.255

Computed properties:
Space group ... Immm, No. 71
Raw formation energy ... -1.27 eV per atom
Energy relative to the lowest polymorph listed for this composition ... 0.0 meV per atom

---

(7)
Density functional theory data (PBE) for PrB6N6 after structural relaxation.

Lattice parameters (Å, degrees): 4.708 4.708 4.708 90.00 90.00 90.00
Element x y z (fractional)
Pr 0.000 0.000 0.000
B 0.000 0.240 0.500
B 0.000 0.760 0.500
B 0.240 0.500 0.000
B 0.500 0.000 0.240
B 0.500 0.000 0.760
B 0.760 0.500 0.000
N 0.000 0.500 0.250
N 0.000 0.500 0.750
N 0.250 0.000 0.500
N 0.500 0.250 0.000
N 0.500 0.750 0.000
N 0.750 0.000 0.500

Computed properties:
Space group ... Pm-3, No. 200
Raw formation energy ... -0.16 eV per atom

---

(8)
Density functional theory data (PBE) for PrB2N2 after structural relaxation.

Lattice parameters (Å, degrees): 4.821 4.821 2.809 90.00 90.00 120.00
Element x y z (fractional)
Pr 0.000 0.000 0.000
B 0.333 0.667 0.500
B 0.667 0.333 0.500
N 0.333 0.667 0.000
N 0.667 0.333 0.000

Computed properties:
Space group ... P6/mmm, No. 191
Raw formation energy ... -0.28 eV per atom

---

(9)
Density functional theory data (PBE) for Pr2BN3 after structural relaxation.

Lattice parameters (Å, degrees): 6.251 6.251 6.251 147.50 138.75 53.47
Element x y z (fractional)
Pr 0.146 0.146 0.000
Pr 0.854 0.854 0.000
B 0.500 0.500 0.000
N 0.000 0.500 0.500
N 0.371 0.371 0.000
N 0.629 0.629 0.000

Computed properties:
Space group ... Immm, No. 71
Raw formation energy ... -0.78 eV per atom

---

(10)
Density functional theory data (PBE) for Pr3B2N4 after structural relaxation.

Lattice parameters (Å, degrees): 6.869 6.869 5.246 92.50 92.50 69.39
Element x y z (fractional)
Pr 0.077 0.923 0.750
Pr 0.238 0.511 0.440
Pr 0.489 0.762 0.060
Pr 0.511 0.238 0.940
Pr 0.762 0.489 0.560
Pr 0.923 0.077 0.250
B 0.096 0.336 0.948
B 0.336 0.096 0.448
B 0.664 0.904 0.552
B 0.904 0.664 0.052
N 0.143 0.240 0.638
N 0.144 0.553 0.981
N 0.240 0.143 0.138
N 0.447 0.856 0.519
N 0.553 0.144 0.481
N 0.760 0.857 0.862
N 0.856 0.447 0.019
N 0.857 0.760 0.362

Computed properties:
Space group ... C2/c, No. 15
Raw formation energy ... -0.59 eV per atom
Energy relative to the lowest polymorph listed for this composition ... 677.2 meV per atom

---

(11)
Density functional theory data (PBE) for PrBN after structural relaxation.

Lattice parameters (Å, degrees): 6.506 6.506 3.498 90.00 90.00 145.92
Element x y z (fractional)
Pr 0.141 0.859 0.750
Pr 0.859 0.141 0.250
B 0.462 0.538 0.750
B 0.538 0.462 0.250
N 0.344 0.656 0.750
N 0.656 0.344 0.250

Computed properties:
Space group ... Cmcm, No. 63
Raw formation energy ... -1.03 eV per atom
Energy relative to the lowest polymorph listed for this composition ... 0.0 meV per atom

---

(12)
Density functional theory data (PBE) for PrBN after structural relaxation.

Lattice parameters (Å, degrees): 4.303 4.303 4.303 126.08 126.08 79.75
Element x y z (fractional)
Pr 0.000 0.000 0.000
B 0.407 0.407 0.000
N 0.607 0.607 0.000

Computed properties:
Space group ... I4mm, No. 107
Raw formation energy ... -0.66 eV per atom
Energy relative to the lowest polymorph listed for this composition ... 376.0 meV per atom

---

| no. | final energy (eV per atom) |
| --- | --- |
| 1 | -7.2420 |
| 2 | -7.3601 |
| 3 | -6.3988 |
| 4 | -8.0436 |
| 5 | -7.3090 |
| 6 | -8.0455 |
| 7 | -7.4480 |
| 8 | -7.2382 |
| 9 | -7.6476 |
| 10 | -7.3683 |
| 11 | -7.6271 |
| 12 | -7.2511 |